1.
# La4NiHg2 | the Alexandria database | GGA-PBE | relaxed
# * DOS(E_F): 1.47 states/eV per atom
data_La4NiHg2
_cell_length_a 5.331
_cell_length_b 5.331
_cell_length_c 16.025
_cell_angle_alpha 90.00
_cell_angle_beta 90.00
_cell_angle_gamma 90.00
_space_group_name_H-M_alt 'I 4/m m m'
_space_group_IT_number 139
_space_group_name_Hall '-I 4 2'
loop_
_atom_site_label
_atom_site_fract_x
_atom_site_fract_y
_atom_site_fract_z
La1 0.000 0.000 0.183
La2 0.000 0.500 0.000
Ni1 0.000 0.000 0.000
Hg1 0.000 0.000 0.375

***

2.
# AgTeOs2 | the Alexandria database | GGA-PBE | relaxed
# * DOS(E_F): 0.76 states/eV per atom
# * ΔE_f (raw): 63.5 kJ/mol of atoms
data_AgTeOs2
_cell_length_a 2.9229
_cell_length_b 2.9229
_cell_length_c 29.5164
_cell_angle_alpha 90.00
_cell_angle_beta 90.00
_cell_angle_gamma 120.00
_space_group_name_H-M_alt 'R 3 m'
_space_group_IT_number 160
_space_group_name_Hall 'R 3 -2"'
loop_
_atom_site_label
_atom_site_fract_x
_atom_site_fract_y
_atom_site_fract_z
Ag1 0.0000 0.0000 0.0000
Te1 0.0000 0.0000 0.7693
Os1 0.0000 0.0000 0.2522
Os2 0.0000 0.0000 0.5186

***

3.
# Hf3Ta2Hg2 | the Alexandria database | GGA-PBE | relaxed
# * DOS(E_F): 0.90 states/eV per atom
data_Hf3Ta2Hg2
_cell_length_a 4.444
_cell_length_b 21.673
_cell_length_c 3.007
_cell_angle_alpha 90.00
_cell_angle_beta 90.00
_cell_angle_gamma 90.00
_space_group_name_H-M_alt 'C m m m'
_space_group_IT_number 65
_space_group_name_Hall '-C 2 2'
loop_
_atom_site_label
_atom_site_fract_x
_atom_site_fract_y
_atom_site_fract_z
Hf1 0.000 0.000 0.000
Hf2 0.000 0.150 0.000
Ta1 0.000 0.283 0.500
Hg1 0.000 0.426 0.500

***

One value per record, in order, for uncorrected energy: -4.00, -6.46, -7.62 eV/atom.
One value per record, in order, for magnetization: 0.001, 0.000, 0.000 μB per cell.